An optimized crystal structure of Ce5Cu2Ni12. Source: Alexandria via LeMat-Bulk, functional PBE-GGA.

DFT formation energy in meV/atom: -254
V in Å³/cell: 589.3
Magnetic moment in μB per cell: 0.0

```
data_Ce5Cu2Ni12
_chemical_formula_sum 'Ce10 Cu4 Ni24'
_cell_length_a 14.9158
_cell_length_b 6.5173
_cell_length_c 6.0838
_cell_angle_alpha 90.00
_cell_angle_beta 94.86
_cell_angle_gamma 90.00
_symmetry_space_group_name_H-M 'C 1 2/m 1'
_symmetry_Int_Tables_number 12
_symmetry_space_group_name_Hall '-C 2y'
loop_
_atom_site_label
_atom_site_type_symbol
_atom_site_fract_x
_atom_site_fract_y
_atom_site_fract_z
Ce1 Ce 0.0000 0.0000 0.0000
Ce2 Ce 0.1756 0.5000 0.5571
Ce3 Ce 0.2381 0.0000 0.9126
Cu1 Cu 0.0000 0.2613 0.5000
Ni1 Ni 0.0485 0.5000 0.1911
Ni2 Ni 0.0935 0.3056 0.8675
Ni3 Ni 0.1227 0.0000 0.5997
Ni4 Ni 0.1420 0.1891 0.2607
```